A plane-wave DFT calculation with GGA-PBE was carried out for an optimized crystal structure of YHOs3.

Summary:
ΔE to the lowest computed polymorph in kJ/mol of formula units: 1569

Lattice parameters (Å, degrees): 5.0188 5.0188 5.0188 90.00 90.00 90.00
Space group Pm-3m (No. 221)
Unique sites:
Y: 0.0000 0.0000 0.0000
H: 0.5000 0.5000 0.5000
Os: 0.0000 0.0000 0.5000

A plane-wave DFT calculation with GGA-PBE was carried out for an optimized crystal structure of Rb2MnZn2Te4.

Summary:
Formation energy from raw total energies in meV/atom: -587

Lattice parameters (Å, degrees): 16.8485 4.3225 8.5212 90.00 107.81 90.00
Space group C2/m (No. 12)
Unique sites:
Rb: 0.1256 0.0000 0.0502
Mn: 0.0000 0.0000 0.5000
Zn: 0.1710 0.5000 0.4760
Te: 0.0158 0.5000 0.2824
Te: 0.2044 0.0000 0.6777

A plane-wave DFT calculation with GGA-PBE was carried out for an optimized crystal structure of Ni2Sb.

Summary:
Formation energy from raw total energies in meV/atom: 100

Lattice parameters (Å, degrees): 7.0621 7.0621 7.0621 90.00 90.00 90.00
Space group Fd-3m (No. 227, origin choice 2)
Unique sites:
Ni: 0.0000 0.0000 0.0000
Sb: 0.1250 0.1250 0.6250

A plane-wave DFT calculation with GGA-PBE was carried out for an optimized crystal structure of Pm2InHg.

Summary:
ΔE to the lowest computed polymorph in kJ/mol of formula units: 0

Lattice parameters (Å, degrees): 3.7844 3.7844 7.8710 90.00 90.00 90.00
Space group P4/mmm (No. 123)
Unique sites:
Pm: 0.0000 0.0000 0.2465
In: 0.5000 0.5000 0.5000
Hg: 0.5000 0.5000 0.0000

A plane-wave DFT calculation with GGA-PBE was carried out for an optimized crystal structure of AcPr2Dy2Ho2.

Lattice parameters (Å, degrees): 11.5757 5.1598 8.1722 90.00 98.42 90.00
Space group C2/m (No. 12)
Unique sites:
Ac: 0.0000 0.0000 0.0000
Pr: 0.2152 0.5000 0.1522
Dy: 0.1416 0.0000 0.4328
Ho: 0.0741 0.5000 0.7046

A plane-wave DFT calculation with GGA-PBE was carried out for an optimized crystal structure of Cd2CoNi.

Summary:
ΔE to the lowest computed polymorph in kJ/mol of formula units: 34

Lattice parameters (Å, degrees): 2.8273 4.2419 5.4486 90.00 104.74 90.00
Space group Pm (No. 6)
Unique sites:
Cd: 0.0000 0.0000 0.0000
Cd: 0.3299 0.5000 0.6666
Co: 0.6076 0.5000 0.2174
Ni: 0.7223 0.0000 0.4483

A plane-wave DFT calculation with GGA-PBE was carried out for an optimized crystal structure of BaZr3Cl.

Summary:
Formation energy from raw total energies in meV/atom: 1816
ΔE to the lowest computed polymorph in kJ/mol of formula units: 779

Lattice parameters (Å, degrees): 5.4065 5.4065 5.4065 90.00 90.00 90.00
Space group Pm-3m (No. 221)
Unique sites:
Ba: 0.0000 0.0000 0.0000
Zr: 0.0000 0.0000 0.5000
Cl: 0.5000 0.5000 0.5000

A plane-wave DFT calculation with GGA-PBE was carried out for an optimized crystal structure of MgFeH4.

Lattice parameters (Å, degrees): 5.9145 9.8930 4.3438 90.00 126.87 90.00
Space group C2/c (No. 15)
Unique sites:
Mg: 0.0000 0.1641 0.2500
Fe: 0.0000 0.4381 0.2500
H: 0.1641 0.3326 0.1842
H: 0.2037 0.4450 0.7203

no.,total DFT energy (no corrections) (eV per atom)
1,-5.10
2,-3.50
3,-5.13
4,-3.62
5,-4.53
6,-3.43
7,-4.07
8,-3.97